Below is Ba2SnHg3 after structural relaxation, with properties calculated at the PBE-GGA level.

a = 6.7517 Å, b = 6.7517 Å, c = 10.4056 Å
α = 112.76°, β = 112.76°, γ = 78.90°
With the nearest neighbours (Å) after each atom.
Fractional coordinates of all 12 atoms:
Hg (0.1679, 0.1679, 0.3357)  1 Sn 3.02, 2 Hg 3.05
Hg (0.6632, 0.6632, 0.8328)  1 Sn 2.96, 2 Hg 3.01-3.05
Ba (0.2393, 0.7607, 0.0000)  10 Hg 3.65-3.73, 2 Sn 3.71
Ba (0.7500, 0.2500, 0.5000)  8 Hg 3.69, 4 Sn 3.71
Ba (0.2500, 0.7500, 0.5000)  8 Hg 3.69, 4 Sn 3.71
Hg (0.8321, 0.8321, 0.6643)  1 Sn 3.02, 2 Hg 3.05
Hg (0.3368, 0.3368, 0.1672)  1 Sn 2.96, 2 Hg 3.01-3.05
Sn (0.3357, 0.3357, 0.6714)  3 Hg 2.96-3.02
Sn (0.6643, 0.6643, 0.3286)  3 Hg 2.96-3.02
Hg (0.1696, 0.1696, 0.8328)  1 Sn 2.96, 2 Hg 3.01-3.05
Hg (0.8304, 0.8304, 0.1672)  1 Sn 2.96, 2 Hg 3.01-3.05
Ba (0.7607, 0.2393, 0.0000)  10 Hg 3.65-3.73, 2 Sn 3.71

Computed properties:
Its calculated volume is 33.57 A^3/atom. The formation energy comes out at -535 meV per atom. For the density, the calculation gives 8.20 g cm⁻³. For the energy, the calculation gives -1.9936 eV/atom. The space group is No. 69.